[1]
Na2CrPtO4, relaxed, DFT GGA+U; space-group type = I-4; uncorrected energy = -5.74 eV per atom
1.0
-1.784 -4.561 1.554
3.727 1.653 3.127
-3.727 3.536 0.097
Na O Pt Cr
2 4 1 1
Direct
0.000 0.000 0.000
0.500 0.750 0.250
0.038 0.154 0.494
0.962 0.455 0.115
0.340 0.885 0.846
0.660 0.506 0.545
0.500 0.250 0.750
0.000 0.500 0.500

***

[2]
Na3Cr3PtO8, relaxed, DFT GGA+U; space-group type = R-3m; uncorrected energy = -6.48 eV per atom
1.0
-4.836 -3.579 1.020
2.061 0.797 -5.688
3.531 -3.620 4.044
O Cr Na Pt
8 3 3 1
Direct
0.768 0.536 0.306
0.232 0.961 0.694
0.232 0.464 0.694
0.729 0.961 0.694
0.732 0.463 0.695
0.271 0.039 0.306
0.268 0.537 0.305
0.768 0.039 0.306
0.500 0.000 0.500
0.500 0.500 0.500
0.000 0.500 0.500
0.000 0.500 0.000
0.500 0.500 0.000
0.000 0.000 0.000
0.000 0.000 0.500

***

[3]
NaPuCr2O8, relaxed, DFT GGA+U; space-group type = I-4m2; uncorrected energy = -7.62 eV per atom
1.0
-3.897 3.962 2.213
2.790 -3.440 4.020
4.259 3.177 -2.747
O Na Pu Cr
8 1 1 2
Direct
0.763 0.083 0.680
0.851 0.656 0.195
0.917 0.237 0.320
0.344 0.540 0.195
0.344 0.149 0.805
0.403 0.083 0.320
0.460 0.656 0.805
0.917 0.597 0.680
0.000 0.000 0.000
0.250 0.750 0.500
0.500 0.500 0.000
0.750 0.250 0.500

***

[4]
NaPu2CrO8, relaxed, DFT GGA+U; space-group type = Cmmm; uncorrected energy = -8.71 eV per atom
1.0
-0.686 -2.609 -3.952
0.835 -4.097 2.325
-6.649 -0.509 1.490
O Pu Na Cr
8 2 1 1
Direct
0.296 0.296 0.000
0.324 0.324 0.500
0.206 0.794 0.778
0.794 0.206 0.222
0.704 0.704 0.000
0.794 0.206 0.778
0.206 0.794 0.222
0.676 0.676 0.500
0.500 0.500 0.754
0.500 0.500 0.246
0.000 0.000 0.500
0.000 0.000 0.000

***

[5]
Na3PuCr2O6, relaxed, DFT GGA+U; space-group type = C2/m; uncorrected energy = -7.27 eV per atom
1.0
5.537 0.068 -0.027
-2.708 4.830 -0.027
-0.971 -1.681 5.531
O Na Cr Pu
6 3 2 1
Direct
0.719 0.719 0.208
0.943 0.595 0.792
0.595 0.943 0.792
0.405 0.057 0.208
0.057 0.405 0.208
0.281 0.281 0.792
0.500 0.500 0.500
0.173 0.827 0.500
0.827 0.173 0.500
0.336 0.664 0.000
0.664 0.336 0.000
0.000 0.000 0.000

***

[6]
Na2PuCrO8, relaxed, DFT GGA+U; space-group type = P-3m1; uncorrected energy = -6.53 eV per atom
1.0
6.479 0.000 0.000
-3.239 5.611 0.000
0.000 0.000 5.522
O Na Pu Cr
8 2 1 1
Direct
0.131 0.262 0.252
0.869 0.131 0.748
0.262 0.131 0.748
0.131 0.869 0.252
0.333 0.667 0.751
0.667 0.333 0.249
0.869 0.738 0.748
0.738 0.869 0.252
0.667 0.333 0.771
0.333 0.667 0.229
0.000 0.000 0.500
0.000 0.000 0.000

***

[7]
Na2PuCrO4, relaxed, DFT GGA+U; space-group type = P2/m; uncorrected energy = -7.65 eV per atom
1.0
3.293 0.000 0.000
0.000 5.883 -0.086
0.000 -2.248 5.600
O Pu Na Cr
4 1 2 1
Direct
0.500 0.770 0.815
0.000 0.285 0.761
0.000 0.715 0.239
0.500 0.230 0.185
0.500 0.500 0.000
0.000 0.500 0.500
0.500 0.000 0.500
0.000 0.000 0.000

***

[8]
Na2PuCrO6, relaxed, DFT GGA+U; space-group type = P4/mmm; uncorrected energy = -7.41 eV per atom
1.0
-0.162 3.606 1.945
-5.619 -0.297 0.082
0.213 -2.662 4.953
Na Pu O Cr
2 1 6 1
Direct
0.144 0.500 0.000
0.144 0.000 0.500
0.645 0.500 0.500
0.145 0.000 0.000
0.145 0.500 0.500
0.645 0.749 0.749
0.645 0.251 0.251
0.645 0.749 0.251
0.645 0.251 0.749
0.645 0.000 0.000

***

Please write out number 6 again, unchanged.
Na2PuCrO8, relaxed, DFT GGA+U; space-group type = P-3m1; uncorrected energy = -6.53 eV per atom
1.0
6.479 0.000 0.000
-3.239 5.611 0.000
0.000 0.000 5.522
O Na Pu Cr
8 2 1 1
Direct
0.131 0.262 0.252
0.869 0.131 0.748
0.262 0.131 0.748
0.131 0.869 0.252
0.333 0.667 0.751
0.667 0.333 0.249
0.869 0.738 0.748
0.738 0.869 0.252
0.667 0.333 0.771
0.333 0.667 0.229
0.000 0.000 0.500
0.000 0.000 0.000

***

What is the formula in the second record?
Na3Cr3PtO8